No. 1
Crystalline SrBr3 at its relaxed geometry, computed with GGA-PBE.

Geometry as extended XYZ:
```
4
Lattice="4.9203 0.0000 0.0000 0.0000 4.9203 0.0000 0.0000 0.0000 4.9203" Properties=species:S:1:pos:R:3 pbc="T T T"
Br 0.0000 2.4601 2.4601
Br 2.4601 0.0000 2.4601
Br 2.4601 2.4601 0.0000
Sr 0.0000 0.0000 0.0000
```

## Properties
V   119.1 Å³/cell
Total magnetization   1.051 μB/f.u.
ΔE_f (raw)   -1.22 eV/atom

No. 2
Crystalline SrBr3 at its relaxed geometry, computed with GGA-PBE.

Geometry as extended XYZ:
```
4
Lattice="9.9658 -0.0874 -0.0522 8.9628 4.3582 -0.0522 8.9628 2.0222 3.8610" Properties=species:S:1:pos:R:3 pbc="T T T"
Sr 0.0000 0.0000 0.0000
Br 20.1266 4.5411 2.7108
Br 7.7648 1.7519 1.0458
Br 13.9457 3.1465 1.8783
```

## Properties
V   172.9 Å³/cell
Total magnetization   1.007 μB/f.u.
ΔE_f (raw)   -1.27 eV/atom

No. 3
Crystalline Sr3Br at its relaxed geometry, computed with GGA-PBE.

Geometry as extended XYZ:
```
4
Lattice="6.5805 0.0000 0.0000 3.2902 5.6989 0.0000 3.2902 1.8996 5.3729" Properties=species:S:1:pos:R:3 pbc="T T T"
Sr 6.5805 3.7992 2.6865
Sr 3.2902 1.8996 1.3432
Sr 9.8707 5.6989 4.0297
Br 0.0000 0.0000 0.0000
```

## Properties
V   201.5 Å³/cell
Total magnetization   0.000 μB/f.u.
ΔE_f (raw)   -0.25 eV/atom
ΔE to the lowest computed polymorph   478.0 meV/atom

No. 4
Crystalline Sr3Br at its relaxed geometry, computed with GGA-PBE.

Geometry as extended XYZ:
```
16
Lattice="7.8372 0.0000 0.0000 0.0000 7.9838 0.0000 0.0000 0.0000 12.3611" Properties=species:S:1:pos:R:3 pbc="T T T"
Sr 2.3901 4.1971 9.2708
Sr 1.1091 2.2382 0.7051
Sr 1.1091 2.2382 5.4755
Sr 6.7282 5.7456 11.6560
Sr 6.7282 5.7456 6.8856
Sr 2.8096 6.2301 5.4755
Sr 5.0277 1.7537 6.8856
Sr 6.3088 7.7787 3.0903
Sr 5.0277 1.7537 11.6560
Sr 2.8096 6.2301 0.7051
Sr 5.4471 3.7867 3.0903
Sr 1.5285 0.2052 9.2708
Br 5.6696 3.8559 9.2708
Br 2.1676 4.1279 3.0903
Br 1.7510 0.1360 3.0903
Br 6.0862 7.8478 9.2708
```

## Properties
V   773.4 Å³/cell
Total magnetization   0.000 μB/f.u.
ΔE_f (raw)   -0.67 eV/atom
ΔE to the lowest computed polymorph   54.0 meV/atom

No. 5
Crystalline SrBr2 at its relaxed geometry, computed with GGA-PBE.

Geometry as extended XYZ:
```
6
Lattice="0.0000 4.6777 4.6777 4.6777 0.0000 4.6777 4.6777 4.6777 0.0000" Properties=species:S:1:pos:R:3 pbc="T T T"
Sr 7.0166 7.0166 7.0166
Sr 4.6777 4.6777 4.6777
Br 3.5083 1.1694 3.5083
Br 1.1694 3.5083 3.5083
Br 3.5083 3.5083 1.1694
Br 1.1694 1.1694 1.1694
```

## Properties
V   204.7 Å³/cell
Total magnetization   0.000 μB/f.u.
ΔE_f (raw)   -0.79 eV/atom

No. 6
Crystalline SrBr3 at its relaxed geometry, computed with GGA-PBE.

Geometry as extended XYZ:
```
8
Lattice="6.1250 0.0000 0.0000 0.0000 6.1250 0.0000 0.0000 0.0000 6.1250" Properties=species:S:1:pos:R:3 pbc="T T T"
Br 3.0625 0.0000 4.5938
Br 4.5938 3.0625 0.0000
Br 0.0000 1.5313 3.0625
Br 0.0000 4.5938 3.0625
Br 3.0625 0.0000 1.5313
Br 1.5313 3.0625 0.0000
Sr 3.0625 3.0625 3.0625
Sr 0.0000 0.0000 0.0000
```

## Properties
V   229.8 Å³/cell
Total magnetization   0.396 μB/f.u.
ΔE_f (raw)   -1.41 eV/atom

No. 7
Crystalline Sr3Br at its relaxed geometry, computed with GGA-PBE.

Geometry as extended XYZ:
```
4
Lattice="7.7608 -0.0009 0.0000 4.1780 6.5402 0.0000 -5.9694 -3.2697 3.7290" Properties=species:S:1:pos:R:3 pbc="T T T"
Sr 2.0890 3.2701 1.8645
Sr 5.9694 3.2697 0.0000
Sr 3.8804 -0.0004 1.8645
Br 0.0000 0.0000 0.0000
```

## Properties
V   189.3 Å³/cell
Total magnetization   0.000 μB/f.u.
ΔE_f (raw)   -0.38 eV/atom
ΔE to the lowest computed polymorph   340.6 meV/atom

No. 8
Crystalline Sr3Br at its relaxed geometry, computed with GGA-PBE.

Geometry as extended XYZ:
```
4
Lattice="5.7690 0.0000 0.0000 0.0000 5.7690 0.0000 0.0000 0.0000 5.7690" Properties=species:S:1:pos:R:3 pbc="T T T"
Br 0.0000 0.0000 0.0000
Sr 2.8845 2.8845 0.0000
Sr 0.0000 2.8845 2.8845
Sr 2.8845 0.0000 2.8845
```

## Properties
V   192.0 Å³/cell
Total magnetization   0.000 μB/f.u.
ΔE_f (raw)   -0.32 eV/atom
ΔE to the lowest computed polymorph   403.3 meV/atom

No. 9
Crystalline SrBr2 at its relaxed geometry, computed with GGA-PBE.

Geometry as extended XYZ:
```
3
Lattice="-1.9418 1.9418 7.0559 1.9418 -1.9418 7.0559 1.9418 1.9418 -7.0559" Properties=species:S:1:pos:R:3 pbc="T T T"
Sr 0.0000 0.0000 7.0559
Br 0.0000 0.0000 12.3873
Br 0.0000 0.0000 1.7244
```

## Properties
V   106.4 Å³/cell
Total magnetization   0.000 μB/f.u.
ΔE_f (raw)   -1.95 eV/atom

No. 10
Crystalline Sr3Br at its relaxed geometry, computed with GGA-PBE.

Geometry as extended XYZ:
```
4
Lattice="-9.8307 -2.9006 -5.9179 -10.9380 -4.0520 -2.0049 -11.3858 -0.0322 -3.2313" Properties=species:S:1:pos:R:3 pbc="T T T"
Sr -8.5456 -1.8563 -2.9644
Sr -23.6089 -5.1284 -8.1897
Sr -16.0773 -3.4924 -5.5771
Br 0.0000 0.0000 0.0000
```

## Properties
V   179.2 Å³/cell
Total magnetization   0.474 μB/f.u.
ΔE_f (raw)   -0.72 eV/atom
ΔE to the lowest computed polymorph   0.0 meV/atom

No. 11
Crystalline SrBr2 at its relaxed geometry, computed with GGA-PBE.

Geometry as extended XYZ:
```
6
Lattice="2.1909 -3.7948 0.0000 2.1909 3.7948 0.0000 0.0000 0.0000 14.5184" Properties=species:S:1:pos:R:3 pbc="T T T"
Sr 0.0000 0.0000 10.8888
Sr 0.0000 0.0000 3.6296
Br 2.1909 1.2649 12.6902
Br 2.1909 1.2649 9.0875
Br 2.1909 -1.2649 5.4310
Br 2.1909 -1.2649 1.8282
```

## Properties
V   241.4 Å³/cell
Total magnetization   0.000 μB/f.u.
ΔE_f (raw)   -1.99 eV/atom

No. 12
Crystalline SrBr3 at its relaxed geometry, computed with GGA-PBE.

Geometry as extended XYZ:
```
4
Lattice="-1.7741 -1.3437 3.6949 3.3660 -2.1171 -1.6714 6.5429 6.1553 5.3801" Properties=species:S:1:pos:R:3 pbc="T T T"
Br 6.0388 5.6810 4.9655
Br 3.7756 3.5519 3.1046
Br 1.5750 -0.0627 3.2511
Sr 4.8464 3.0150 5.9412
```

## Properties
V   168.7 Å³/cell
Total magnetization   1.011 μB/f.u.
ΔE_f (raw)   -1.20 eV/atom